Entry 1:
# CaAl2Co

An optimized crystal structure of CaAl2Co (PBE, Alexandria via LeMat-Bulk).

POSCAR file:
```
CaAl2Co
1.0
2.7695 -4.4770 0.0000
2.7695 4.4770 0.0000
0.0000 0.0000 2.9123
Ca Al Co
1 2 1
Cartesian
0.0000 0.0000 0.0000
1.3847 2.2385 1.4561
1.3847 -2.2385 1.4561
2.7695 0.0000 0.0000
```

## Properties
As for the space group: Cmmm, No. 65.

=====

Entry 2:
# CaAl2Co

An optimized crystal structure of CaAl2Co (PBE, Alexandria via LeMat-Bulk).

POSCAR file:
```
CaAl2Co
1.0
0.0000 3.2087 3.2087
3.2087 0.0000 3.2087
3.2087 3.2087 0.0000
Ca Al Co
1 2 1
Cartesian
0.0000 0.0000 0.0000
1.6043 1.6043 1.6043
4.8130 4.8130 4.8130
3.2087 3.2087 3.2087
```

## Properties
As for the space group: Fm-3m, No. 225.

=====

Number 1: formation energy 0.228 eV per atom, volume 72.2 Å³ per cell, magnetization 1.2 Bohr magnetons per cell. Number 2: formation energy -0.023 eV per atom, volume 66.1 Å³ per cell, magnetization 0.0 Bohr magnetons per cell.